# BaLiCl2 | Alexandria | SCAN | PBEsol geometry
data_BaLiCl2
_chemical_formula_sum 'Ba1 Li1 Cl2'
_space_group_name_H-M_alt 'P 1'
_space_group_IT_number 1
_cell_length_a 5.188
_cell_length_b 5.310
_cell_length_c 5.188
_cell_angle_alpha 60.76
_cell_angle_beta 90.00
_cell_angle_gamma 119.24
loop_
_space_group_symop_operation_xyz
'x,y,z'
loop_
_atom_site_label
_atom_site_type_symbol
_atom_site_fract_x
_atom_site_fract_y
_atom_site_fract_z
_atom_site_occupancy
Cl1 Cl 0.750 0.500 0.750 1
Cl2 Cl 0.250 0.500 0.250 1
Ba1 Ba 0.000 0.000 0.000 1
Li1 Li 0.500 0.000 0.500 1
# DOS(E_F)   0.9 states/eV/cell
# Formation energy without anion corrections   -1.700 eV per atom
# Electronic total energy   -16.1738 eV/atom
# Excess energy over the best structure of this formula in the dataset   0.134 eV per atom


# CoSi2Ru | Alexandria | SCAN | PBEsol geometry
data_CoSi2Ru
_chemical_formula_sum 'Co2 Si4 Ru2'
_space_group_name_H-M_alt 'P 1'
_space_group_IT_number 1
_cell_length_a 5.157
_cell_length_b 5.157
_cell_length_c 5.157
_cell_angle_alpha 106.70
_cell_angle_beta 106.70
_cell_angle_gamma 115.18
loop_
_space_group_symop_operation_xyz
'x,y,z'
loop_
_atom_site_label
_atom_site_type_symbol
_atom_site_fract_x
_atom_site_fract_y
_atom_site_fract_z
_atom_site_occupancy
Co1 Co 0.750 0.250 0.500 1
Co2 Co 0.500 0.500 0.000 1
Ru1 Ru 0.250 0.750 0.500 1
Ru2 Ru 0.000 0.000 0.000 1
Si1 Si 0.125 0.148 0.523 1
Si2 Si 0.398 0.875 0.023 1
Si3 Si 0.625 0.602 0.477 1
Si4 Si 0.852 0.375 0.977 1
# DOS(E_F)   6.6 states/eV/cell
# Formation energy without anion corrections   0.190 eV per atom
# Electronic total energy   -17.8505 eV/atom


# K2TcPt | Alexandria | SCAN | PBEsol geometry
data_K2TcPt
_chemical_formula_sum 'K2 Tc1 Pt1'
_space_group_name_H-M_alt 'P 1'
_space_group_IT_number 1
_cell_length_a 3.883
_cell_length_b 3.883
_cell_length_c 5.481
_cell_angle_alpha 90.00
_cell_angle_beta 90.00
_cell_angle_gamma 90.00
loop_
_space_group_symop_operation_xyz
'x,y,z'
loop_
_atom_site_label
_atom_site_type_symbol
_atom_site_fract_x
_atom_site_fract_y
_atom_site_fract_z
_atom_site_occupancy
K1 K 0.500 0.000 0.000 1
K2 K 0.000 0.500 0.000 1
Tc1 Tc 0.000 0.000 0.500 1
Pt1 Pt 0.500 0.500 0.500 1
# DFT formation energy   0.81 eV per atom
# DOS(E_F)   2.2 states/eV/cell
# Electronic total energy   -29.6689 eV/atom
# Excess energy over the best structure of this formula in the dataset   0.450 eV per atom


# AuCCl3 | Alexandria | SCAN | PBEsol geometry
data_AuCCl3
_chemical_formula_sum 'Au1 C1 Cl3'
_space_group_name_H-M_alt 'P 1'
_space_group_IT_number 1
_cell_length_a 4.349
_cell_length_b 4.349
_cell_length_c 4.349
_cell_angle_alpha 90.00
_cell_angle_beta 90.00
_cell_angle_gamma 90.00
loop_
_space_group_symop_operation_xyz
'x,y,z'
loop_
_atom_site_label
_atom_site_type_symbol
_atom_site_fract_x
_atom_site_fract_y
_atom_site_fract_z
_atom_site_occupancy
Cl1 Cl 0.500 0.000 0.000 1
Cl2 Cl 0.000 0.000 0.500 1
Cl3 Cl 0.000 0.500 0.000 1
C1 C 0.000 0.000 0.000 1
Au1 Au 0.500 0.500 0.500 1
# DOS(E_F)   0.4 states/eV/cell
# Formation energy without anion corrections   1.113 eV per atom
# Electronic total energy   -19.5252 eV/atom


# KMo2As | Alexandria | SCAN | PBEsol geometry
data_KMo2As
_chemical_formula_sum 'K1 Mo2 As1'
_space_group_name_H-M_alt 'P 1'
_space_group_IT_number 1
_cell_length_a 3.949
_cell_length_b 3.949
_cell_length_c 5.390
_cell_angle_alpha 111.49
_cell_angle_beta 111.49
_cell_angle_gamma 90.00
loop_
_space_group_symop_operation_xyz
'x,y,z'
loop_
_atom_site_label
_atom_site_type_symbol
_atom_site_fract_x
_atom_site_fract_y
_atom_site_fract_z
_atom_site_occupancy
Mo1 Mo 0.750 0.250 0.500 1
Mo2 Mo 0.250 0.750 0.500 1
As1 As 0.500 0.500 0.000 1
K1 K 0.000 0.000 0.000 1
# DFT formation energy   1.39 eV per atom
# DOS(E_F)   4.4 states/eV/cell
# Electronic total energy   -23.1794 eV/atom


# Ta3GeC | Alexandria | SCAN | PBEsol geometry
data_Ta3GeC
_chemical_formula_sum 'Ta3 Ge1 C1'
_space_group_name_H-M_alt 'P 1'
_space_group_IT_number 1
_cell_length_a 4.664
_cell_length_b 4.664
_cell_length_c 4.664
_cell_angle_alpha 90.00
_cell_angle_beta 90.00
_cell_angle_gamma 90.00
loop_
_space_group_symop_operation_xyz
'x,y,z'
loop_
_atom_site_label
_atom_site_type_symbol
_atom_site_fract_x
_atom_site_fract_y
_atom_site_fract_z
_atom_site_occupancy
Ta1 Ta 0.500 0.000 0.000 1
Ta2 Ta 0.000 0.500 0.000 1
Ta3 Ta 0.000 0.000 0.500 1
C1 C 0.500 0.500 0.500 1
Ge1 Ge 0.000 0.000 0.000 1
# DFT formation energy   2.62 eV per atom
# DOS(E_F)   6.4 states/eV/cell
# Electronic total energy   -43.1696 eV/atom


# HoAsO4 | Alexandria | SCAN | PBEsol geometry
data_HoAsO4
_chemical_formula_sum 'Ho4 As4 O16'
_space_group_name_H-M_alt 'P 1'
_space_group_IT_number 1
_cell_length_a 6.598
_cell_length_b 6.636
_cell_length_c 6.897
_cell_angle_alpha 90.00
_cell_angle_beta 90.00
_cell_angle_gamma 105.51
loop_
_space_group_symop_operation_xyz
'x,y,z'
loop_
_atom_site_label
_atom_site_type_symbol
_atom_site_fract_x
_atom_site_fract_y
_atom_site_fract_z
_atom_site_occupancy
As1 As 0.112 0.800 0.159 1
As2 As 0.612 0.300 0.341 1
As3 As 0.388 0.700 0.659 1
As4 As 0.888 0.200 0.841 1
O1 O 0.842 0.482 0.397 1
O2 O 0.415 0.259 0.509 1
O3 O 0.085 0.241 0.009 1
O4 O 0.488 0.599 0.854 1
O5 O 0.512 0.401 0.146 1
O6 O 0.988 0.099 0.646 1
O7 O 0.727 0.104 0.288 1
O8 O 0.158 0.518 0.603 1
O9 O 0.342 0.982 0.103 1
O10 O 0.773 0.396 0.788 1
O11 O 0.585 0.741 0.491 1
O12 O 0.915 0.759 0.991 1
O13 O 0.273 0.896 0.712 1
O14 O 0.227 0.604 0.212 1
O15 O 0.658 0.018 0.897 1
O16 O 0.012 0.901 0.354 1
Ho1 Ho 0.916 0.723 0.644 1
Ho2 Ho 0.416 0.223 0.856 1
Ho3 Ho 0.584 0.777 0.144 1
Ho4 Ho 0.084 0.277 0.356 1
# DOS(E_F)   0.0 states/eV/cell
# Formation energy without anion corrections   -2.577 eV per atom
# Electronic total energy   -18.2606 eV/atom


# ScIr2Ru | Alexandria | SCAN | PBEsol geometry
data_ScIr2Ru
_chemical_formula_sum 'Sc1 Ir2 Ru1'
_space_group_name_H-M_alt 'P 1'
_space_group_IT_number 1
_cell_length_a 2.795
_cell_length_b 4.439
_cell_length_c 4.745
_cell_angle_alpha 90.00
_cell_angle_beta 90.00
_cell_angle_gamma 90.00
loop_
_space_group_symop_operation_xyz
'x,y,z'
loop_
_atom_site_label
_atom_site_type_symbol
_atom_site_fract_x
_atom_site_fract_y
_atom_site_fract_z
_atom_site_occupancy
Sc1 Sc 0.500 0.500 0.190 1
Ir1 Ir 0.000 0.000 0.056 1
Ir2 Ir 0.000 0.500 0.693 1
Ru1 Ru 0.500 0.000 0.562 1
# DFT formation energy   -0.48 eV per atom
# DOS(E_F)   2.8 states/eV/cell
# Electronic total energy   -48.2912 eV/atom
# Excess energy over the best structure of this formula in the dataset   0.064 eV per atom


# LiCa3 | Alexandria | SCAN | PBEsol geometry
data_LiCa3
_chemical_formula_sum 'Li1 Ca3'
_space_group_name_H-M_alt 'P 1'
_space_group_IT_number 1
_cell_length_a 5.252
_cell_length_b 5.252
_cell_length_c 5.252
_cell_angle_alpha 90.00
_cell_angle_beta 90.00
_cell_angle_gamma 90.00
loop_
_space_group_symop_operation_xyz
'x,y,z'
loop_
_atom_site_label
_atom_site_type_symbol
_atom_site_fract_x
_atom_site_fract_y
_atom_site_fract_z
_atom_site_occupancy
Li1 Li 0.000 0.000 0.000 1
Ca1 Ca 0.500 0.000 0.500 1
Ca2 Ca 0.000 0.500 0.500 1
Ca3 Ca 0.500 0.500 0.000 1
# DFT formation energy   0.06 eV per atom
# DOS(E_F)   3.2 states/eV/cell
# Electronic total energy   -7.7807 eV/atom
# Excess energy over the best structure of this formula in the dataset   0.045 eV per atom


# La2BeBr | Alexandria | SCAN | PBEsol geometry
data_La2BeBr
_chemical_formula_sum 'La2 Be1 Br1'
_space_group_name_H-M_alt 'P 1'
_space_group_IT_number 1
_cell_length_a 3.638
_cell_length_b 4.919
_cell_length_c 6.419
_cell_angle_alpha 112.53
_cell_angle_beta 106.46
_cell_angle_gamma 90.00
loop_
_space_group_symop_operation_xyz
'x,y,z'
loop_
_atom_site_label
_atom_site_type_symbol
_atom_site_fract_x
_atom_site_fract_y
_atom_site_fract_z
_atom_site_occupancy
Br1 Br 0.259 0.759 0.518 1
La1 La 0.754 0.254 0.508 1
La2 La 0.991 0.991 0.982 1
Be1 Be 0.496 0.496 0.992 1
# DOS(E_F)   3.4 states/eV/cell
# Formation energy without anion corrections   -0.292 eV per atom
# Electronic total energy   -27.7977 eV/atom
# Excess energy over the best structure of this formula in the dataset   0.362 eV per atom


# Ti2Fe | Alexandria | SCAN | PBEsol geometry
data_Ti2Fe
_chemical_formula_sum 'Ti16 Fe8'
_space_group_name_H-M_alt 'P 1'
_space_group_IT_number 1
_cell_length_a 7.823
_cell_length_b 7.823
_cell_length_c 7.823
_cell_angle_alpha 60.00
_cell_angle_beta 60.00
_cell_angle_gamma 60.00
loop_
_space_group_symop_operation_xyz
'x,y,z'
loop_
_atom_site_label
_atom_site_type_symbol
_atom_site_fract_x
_atom_site_fract_y
_atom_site_fract_z
_atom_site_occupancy
Ti1 Ti 0.688 0.312 0.688 1
Ti2 Ti 0.938 0.562 0.938 1
Ti3 Ti 0.625 0.125 0.125 1
Ti4 Ti 0.938 0.938 0.562 1
Ti5 Ti 0.312 0.688 0.688 1
Ti6 Ti 0.688 0.312 0.312 1
Ti7 Ti 0.125 0.125 0.125 1
Ti8 Ti 0.312 0.312 0.688 1
Ti9 Ti 0.125 0.125 0.625 1
Ti10 Ti 0.688 0.688 0.312 1
Ti11 Ti 0.125 0.625 0.125 1
Ti12 Ti 0.562 0.562 0.938 1
Ti13 Ti 0.312 0.688 0.312 1
Ti14 Ti 0.938 0.562 0.562 1
Ti15 Ti 0.562 0.938 0.938 1
Ti16 Ti 0.562 0.938 0.562 1
Fe1 Fe 0.912 0.263 0.912 1
Fe2 Fe 0.338 0.338 0.987 1
Fe3 Fe 0.987 0.338 0.338 1
Fe4 Fe 0.338 0.338 0.338 1
Fe5 Fe 0.912 0.912 0.912 1
Fe6 Fe 0.912 0.912 0.263 1
Fe7 Fe 0.263 0.912 0.912 1
Fe8 Fe 0.338 0.987 0.338 1
# DFT formation energy   -0.13 eV per atom
# DOS(E_F)   21.8 states/eV/cell
# Electronic total energy   -16.8592 eV/atom


# MnAlNi2 | Alexandria | SCAN | PBEsol geometry
data_MnAlNi2
_chemical_formula_sum 'Mn1 Al1 Ni2'
_space_group_name_H-M_alt 'P 1'
_space_group_IT_number 1
_cell_length_a 2.572
_cell_length_b 2.572
_cell_length_c 6.731
_cell_angle_alpha 90.00
_cell_angle_beta 90.00
_cell_angle_gamma 90.00
loop_
_space_group_symop_operation_xyz
'x,y,z'
loop_
_atom_site_label
_atom_site_type_symbol
_atom_site_fract_x
_atom_site_fract_y
_atom_site_fract_z
_atom_site_occupancy
Ni1 Ni 0.500 0.500 0.248 1
Ni2 Ni 0.000 0.000 0.996 1
Al1 Al 0.000 0.000 0.493 1
Mn1 Mn 0.500 0.500 0.763 1
# DFT formation energy   -0.27 eV per atom
# DOS(E_F)   2.9 states/eV/cell
# Electronic total energy   -14.8592 eV/atom


# CaTl2Au | Alexandria | SCAN | PBEsol geometry
data_CaTl2Au
_chemical_formula_sum 'Ca1 Tl2 Au1'
_space_group_name_H-M_alt 'P 1'
_space_group_IT_number 1
_cell_length_a 4.467
_cell_length_b 4.467
_cell_length_c 4.783
_cell_angle_alpha 90.00
_cell_angle_beta 90.00
_cell_angle_gamma 90.00
loop_
_space_group_symop_operation_xyz
'x,y,z'
loop_
_atom_site_label
_atom_site_type_symbol
_atom_site_fract_x
_atom_site_fract_y
_atom_site_fract_z
_atom_site_occupancy
Ca1 Ca 0.000 0.000 0.500 1
Au1 Au 0.500 0.500 0.500 1
Tl1 Tl 0.500 0.000 0.000 1
Tl2 Tl 0.000 0.500 0.000 1
# DFT formation energy   -0.40 eV per atom
# DOS(E_F)   1.6 states/eV/cell
# Electronic total energy   -56.2858 eV/atom


# CuW2 | Alexandria | SCAN | PBEsol geometry
data_CuW2
_chemical_formula_sum 'Cu1 W2'
_space_group_name_H-M_alt 'P 1'
_space_group_IT_number 1
_cell_length_a 3.060
_cell_length_b 3.060
_cell_length_c 5.751
_cell_angle_alpha 90.00
_cell_angle_beta 90.00
_cell_angle_gamma 120.00
loop_
_space_group_symop_operation_xyz
'x,y,z'
loop_
_atom_site_label
_atom_site_type_symbol
_atom_site_fract_x
_atom_site_fract_y
_atom_site_fract_z
_atom_site_occupancy
W1 W 0.333 0.667 0.343 1
W2 W 0.667 0.333 0.657 1
Cu1 Cu 0.000 0.000 0.000 1
# DFT formation energy   0.65 eV per atom
# DOS(E_F)   1.6 states/eV/cell
# Electronic total energy   -50.8751 eV/atom
# Excess energy over the best structure of this formula in the dataset   0.297 eV per atom


Number 1: total moment 0.982 μB per formula unit. Number 2: total moment 0.000 μB per formula unit. Number 3: total moment 2.489 μB per formula unit. Number 4: total moment 0.000 μB per formula unit. Number 5: total moment 0.001 μB per formula unit. Number 6: total moment 1.604 μB per formula unit. Number 7: total moment 0.000 μB per formula unit. Number 8: total moment 0.000 μB per formula unit. Number 9: total moment 0.464 μB per formula unit. Number 10: total moment 0.000 μB per formula unit. Number 11: total moment 0.001 μB per formula unit. Number 12: total moment 3.596 μB per formula unit. Number 13: total moment 0.000 μB per formula unit. Number 14: total moment 0.000 μB per formula unit.